No. 1
Compound: Ho2Al3Pt
Source: Alexandria
Functional: PBE
Structure: relaxed

Summary:
The density comes out at 8.699 Mg/m³. The space group is R-3m. As for the formation energy: -18.54 kcal/mol of atoms. As for the calculated volume: 19.28 Å³ per atom. Its total energy is -0.3828 Ry/atom.

Cell: 5.4243 5.4243 5.4243 Å, 61.09 61.09 61.09°
With the nearest neighbours (Å) after each atom.
Atoms (fractional coordinates):
Ho 0.1250 0.1250 0.1250  9 Al 3.17-3.21, 3 Pt 3.23, 4 Ho 3.29-3.37
Ho 0.8750 0.8750 0.8750  9 Al 3.17-3.21, 3 Pt 3.23, 4 Ho 3.29-3.37
Al 0.0000 0.5000 0.5000  2 Pt 2.71, 4 Al 2.76
Al 0.5000 0.0000 0.5000  2 Pt 2.71, 4 Al 2.76
Al 0.5000 0.5000 0.0000  2 Pt 2.71, 4 Al 2.76
Pt 0.5000 0.5000 0.5000  6 Al 2.71

No. 2
Compound: BaInRh2
Source: Alexandria
Functional: PBE
Structure: relaxed

Summary:
The density comes out at 8.430 Mg/m³. The space group is F-43m. As for the formation energy: 8.24 kcal/mol of atoms. As for the calculated volume: 22.55 Å³ per atom. Its total energy is -0.3295 Ry/atom.

Cell: 5.0340 5.0340 5.0340 Å, 60.00 60.00 60.00°
With the nearest neighbours (Å) after each atom.
Atoms (fractional coordinates):
Ba 0.0000 0.0000 0.0000  4 Rh 3.08, 4 In 3.08
In 0.2500 0.2500 0.2500  4 Ba 3.08, 4 Rh 3.08
Rh 0.5000 0.5000 0.5000  4 Rh 3.08, 4 In 3.08
Rh 0.7500 0.7500 0.7500  4 Ba 3.08, 4 Rh 3.08

No. 3
Compound: Hf2Ti2Ga
Source: Alexandria
Functional: PBE
Structure: relaxed

Summary:
The density comes out at 9.061 Mg/m³. The space group is P4/mbm. As for the formation energy: -2.15 kcal/mol of atoms. As for the calculated volume: 19.15 Å³ per atom. Its total energy is -0.5761 Ry/atom.

Cell: 6.9345 6.9345 3.9819 Å, 90.00 90.00 90.00°
With the nearest neighbours (Å) after each atom.
Atoms (fractional coordinates):
Hf 0.1636 0.3364 0.0000  6 Ti 2.79-2.89
Hf 0.3364 0.8364 0.0000  6 Ti 2.79-2.89
Hf 0.6636 0.1636 0.0000  6 Ti 2.79-2.89
Hf 0.8364 0.6636 0.0000  6 Ti 2.79-2.89
Ti 0.1366 0.6366 0.5000  1 Ti 2.68, 2 Ga 2.69, 6 Hf 2.79-2.89
Ti 0.3634 0.1366 0.5000  1 Ti 2.68, 2 Ga 2.69, 6 Hf 2.79-2.89
Ti 0.6366 0.8634 0.5000  1 Ti 2.68, 2 Ga 2.69, 6 Hf 2.79-2.89
Ti 0.8634 0.3634 0.5000  1 Ti 2.68, 2 Ga 2.69, 6 Hf 2.79-2.89
Ga 0.0000 0.0000 0.5000  4 Ti 2.69
Ga 0.5000 0.5000 0.5000  4 Ti 2.69